Record 1
A relaxed structure of Pm2PrNdEr. Source: Alexandria, functional PBE.

Values from the calculation:
Energy (eV/atom): -4.338
M_tot (Bohr magnetons per cell): 0.0
Formation enthalpy at 0 K (kJ/mol of atoms): 37.03

a b c (Å): 8.4956 11.8057 7.2299
angles (deg): 90.00 90.00 90.00
Space group Cmcm (No. 63)
One atom of each set of equivalent atoms:
Pm  0.1870  0.0000  0.0000 (multiplicity 8)
Pr  0.0000  0.2313  0.2500 (multiplicity 4)
Nd  0.0000  0.4946  0.2500 (multiplicity 4)
Er  0.0000  0.2270  0.7500 (multiplicity 4)

Record 2
A relaxed structure of Nd2NiB10. Source: Alexandria, functional PBE.

Values from the calculation:
Energy (eV/atom): -6.842
M_tot (Bohr magnetons per cell): 0.0
Formation enthalpy at 0 K (kJ/mol of atoms): -50.88

a b c (Å): 5.6384 11.2273 4.1951
angles (deg): 90.00 90.00 90.00
Space group Pbam (No. 55)
One atom of each set of equivalent atoms:
Nd  0.1895  0.1368  0.0000 (multiplicity 4)
Ni  0.0000  0.5000  0.5000 (multiplicity 2)
B  0.0341  0.3123  0.5000 (multiplicity 4)
B  0.1260  0.9586  0.5000 (multiplicity 4)
B  0.1570  0.8024  0.5000 (multiplicity 4)
B  0.2013  0.3862  0.2000 (multiplicity 8)

Record 3
A relaxed structure of DyZn5Cu7. Source: Alexandria, functional PBE.

Values from the calculation:
Energy (eV/atom): -3.179
M_tot (Bohr magnetons per cell): 0.0
Formation enthalpy at 0 K (kJ/mol of atoms): -12.48

a b c (Å): 4.9627 8.6639 8.6330
angles (deg): 90.00 90.00 90.00
Space group Imm2 (No. 44)
One atom of each set of equivalent atoms:
Dy  0.0000  0.0000  0.0000 (multiplicity 2)
Zn  0.0000  0.5000  0.2753 (multiplicity 2)
Zn  0.2491  0.2533  0.7427 (multiplicity 8)
Cu  0.0000  0.0000  0.3513 (multiplicity 2)
Cu  0.0000  0.0000  0.6422 (multiplicity 2)
Cu  0.0000  0.2801  0.4928 (multiplicity 4)
Cu  0.0000  0.3542  0.9919 (multiplicity 4)
Cu  0.0000  0.5000  0.7119 (multiplicity 2)

Record 4
A relaxed structure of Cs3Pu2I2Br5. Source: Alexandria, functional PBE.

Values from the calculation:
Energy (eV/atom): -5.080
M_tot (Bohr magnetons per cell): 24.0
Formation energy from raw total energies (kJ per mole of atoms): -147

a b c (Å): 5.8821 5.8821 31.1319
angles (deg): 90.00 90.00 90.00
Space group I4/mmm (No. 139)
One atom of each set of equivalent atoms:
Cs  0.0000  0.0000  0.0000 (multiplicity 2)
Cs  0.0000  0.0000  0.1773 (multiplicity 4)
Pu  0.0000  0.0000  0.4045 (multiplicity 4)
I  0.0000  0.0000  0.3022 (multiplicity 4)
Br  0.0000  0.0000  0.5000 (multiplicity 2)
Br  0.0000  0.5000  0.0920 (multiplicity 8)

Record 5
A relaxed structure of Pr6CdTe5. Source: Alexandria, functional PBE.

Values from the calculation:
Energy (eV/atom): -5.031
M_tot (Bohr magnetons per cell): 0.0
Formation energy from raw total energies (kJ per mole of atoms): -121

a b c (Å): 7.8707 13.5831 7.8274
angles (deg): 90.00 109.45 90.00
Space group C2/m (No. 12)
One atom of each set of equivalent atoms:
Pr  0.2470  0.0000  0.2519 (multiplicity 4)
Pr  0.2474  0.1657  0.7474 (multiplicity 8)
Cd  0.0000  0.0000  0.5000 (multiplicity 2)
Te  0.0000  0.1686  0.0000 (multiplicity 4)
Te  0.0000  0.3343  0.5000 (multiplicity 4)
Te  0.0000  0.5000  0.0000 (multiplicity 2)

Record 6
A relaxed structure of NbZnGe. Source: Alexandria, functional PBE.

Values from the calculation:
Energy (eV/atom): -5.312
M_tot (Bohr magnetons per cell): 0.0
Formation enthalpy at 0 K (kJ/mol of atoms): 0.83

a b c (Å): 4.4484 4.4484 2.8073
angles (deg): 90.00 90.00 120.00
Space group P-6m2 (No. 187)
One atom of each set of equivalent atoms:
Nb  0.0000  0.0000  0.0000 (multiplicity 1)
Zn  0.3333  0.6667  0.5000 (multiplicity 1)
Ge  0.6667  0.3333  0.5000 (multiplicity 1)

Record 7
A relaxed structure of CsCd2Pt4. Source: Alexandria, functional PBE.

Values from the calculation:
Energy (eV/atom): -2.535
M_tot (Bohr magnetons per cell): 0.0
Formation enthalpy at 0 K (kJ/mol of atoms): 125.48

a b c (Å): 5.2546 5.2546 14.1798
angles (deg): 90.00 90.00 90.00
Space group I4/mmm (No. 139)
One atom of each set of equivalent atoms:
Cs  0.0000  0.0000  0.0000 (multiplicity 2)
Cd  0.0000  0.0000  0.4000 (multiplicity 4)
Pt  0.0000  0.0000  0.2193 (multiplicity 4)
Pt  0.0000  0.5000  0.0000 (multiplicity 4)

Record 8
A relaxed structure of KGaC. Source: Alexandria, functional PBE.

Values from the calculation:
Energy (eV/atom): -4.102
M_tot (Bohr magnetons per cell): 0.0
Formation enthalpy at 0 K (kJ/mol of atoms): 33.51

a b c (Å): 10.5408 4.8276 6.7747
angles (deg): 90.00 125.67 90.00
Space group C2/m (No. 12)
One atom of each set of equivalent atoms:
K  0.1139  0.0000  0.3798 (multiplicity 4)
Ga  0.1885  0.5000  0.9401 (multiplicity 4)
C  0.0461  0.5000  0.1174 (multiplicity 4)

Record 9
A relaxed structure of Mn4PbCl. Source: Alexandria, functional PBE.

Values from the calculation:
Energy (eV/atom): -6.491
M_tot (Bohr magnetons per cell): 60.2
Formation energy from raw total energies (kJ per mole of atoms): 53

a b c (Å): 7.6591 7.6591 7.6591
angles (deg): 90.00 90.00 90.00
Space group F-43m (No. 216)
One atom of each set of equivalent atoms:
Mn  0.1233  0.1233  0.1233 (multiplicity 16)
Pb  0.2500  0.2500  0.7500 (multiplicity 4)
Cl  0.0000  0.0000  0.5000 (multiplicity 4)

Record 10
A relaxed structure of CsYNpS4. Source: Alexandria, functional PBE.

Values from the calculation:
Energy (eV/atom): -6.747
M_tot (Bohr magnetons per cell): 12.0
Formation energy from raw total energies (kJ per mole of atoms): -144

a b c (Å): 8.5657 8.6728 12.0051
angles (deg): 90.00 90.00 90.00
Space group Imma (No. 74)
One atom of each set of equivalent atoms:
Cs  0.0000  0.2500  0.1278 (multiplicity 4)
Y  0.0000  0.0000  0.5000 (multiplicity 4)
Np  0.2500  0.2500  0.7500 (multiplicity 4)
S  0.0000  0.0559  0.7301 (multiplicity 8)
S  0.2028  0.2500  0.5264 (multiplicity 8)

Record 11
A relaxed structure of Nd8SiSb5. Source: Alexandria, functional PBE.

Values from the calculation:
Energy (eV/atom): -5.578
M_tot (Bohr magnetons per cell): 0.0
Formation energy from raw total energies (kJ per mole of atoms): -96

a b c (Å): 9.4189 9.4189 9.5189
angles (deg): 90.00 90.00 90.00
Space group I-4 (No. 82)
One atom of each set of equivalent atoms:
Nd  0.0693  0.1763  0.2011 (multiplicity 8)
Nd  0.0703  0.3066  0.5526 (multiplicity 8)
Si  0.0000  0.0000  0.5000 (multiplicity 2)
Sb  0.0000  0.5000  0.2500 (multiplicity 2)
Sb  0.1208  0.2521  0.8779 (multiplicity 8)

Record 12
A relaxed structure of TbErBiTe. Source: Alexandria, functional PBE.

Values from the calculation:
Energy (eV/atom): -5.125
M_tot (Bohr magnetons per cell): 0.0
Formation energy from raw total energies (kJ per mole of atoms): -103

a b c (Å): 4.4101 4.4101 6.2274
angles (deg): 90.00 90.00 90.00
Space group P4mm (No. 99)
One atom of each set of equivalent atoms:
Tb  0.0000  0.0000  0.0000 (multiplicity 1)
Er  0.5000  0.5000  0.4982 (multiplicity 1)
Bi  0.5000  0.5000  0.9983 (multiplicity 1)
Te  0.0000  0.0000  0.4998 (multiplicity 1)

Repeat the seventh record exactly.
A relaxed structure of CsCd2Pt4. Source: Alexandria, functional PBE.

Values from the calculation:
Energy (eV/atom): -2.535
M_tot (Bohr magnetons per cell): 0.0
Formation enthalpy at 0 K (kJ/mol of atoms): 125.48

a b c (Å): 5.2546 5.2546 14.1798
angles (deg): 90.00 90.00 90.00
Space group I4/mmm (No. 139)
One atom of each set of equivalent atoms:
Cs  0.0000  0.0000  0.0000 (multiplicity 2)
Cd  0.0000  0.0000  0.4000 (multiplicity 4)
Pt  0.0000  0.0000  0.2193 (multiplicity 4)
Pt  0.0000  0.5000  0.0000 (multiplicity 4)

Repeat the eleventh record exactly.
A relaxed structure of Nd8SiSb5. Source: Alexandria, functional PBE.

Values from the calculation:
Energy (eV/atom): -5.578
M_tot (Bohr magnetons per cell): 0.0
Formation energy from raw total energies (kJ per mole of atoms): -96

a b c (Å): 9.4189 9.4189 9.5189
angles (deg): 90.00 90.00 90.00
Space group I-4 (No. 82)
One atom of each set of equivalent atoms:
Nd  0.0693  0.1763  0.2011 (multiplicity 8)
Nd  0.0703  0.3066  0.5526 (multiplicity 8)
Si  0.0000  0.0000  0.5000 (multiplicity 2)
Sb  0.0000  0.5000  0.2500 (multiplicity 2)
Sb  0.1208  0.2521  0.8779 (multiplicity 8)